# Pm4PtS2Br

A relaxed structure of Pm4PtS2Br (GGA-PBE, Alexandria).

crystal system: monoclinic

Structure (CIF):
```
data_Pm4PtS2Br
_chemical_formula_sum 'Pm4 Pt1 S2 Br1'
_cell_length_a 7.225
_cell_length_b 3.992
_cell_length_c 7.308
_cell_angle_alpha 90.00
_cell_angle_beta 108.20
_cell_angle_gamma 90.00
_space_group_name_H-M_alt 'P 1 2/m 1'
_space_group_IT_number 10
loop_
_space_group_symop_operation_xyz
'x,y,z'
'-x,-y,-z'
'-x,y,-z'
'x,-y,z'
loop_
_atom_site_label
_atom_site_type_symbol
_atom_site_fract_x
_atom_site_fract_y
_atom_site_fract_z
_atom_site_occupancy
Pm1 Pm 0.229 0.000 0.222 1
Pm2 Pm 0.237 0.500 0.753 1
Pt1 Pt 0.000 0.000 0.500 1
S1 S 0.000 0.500 0.000 1
S2 S 0.500 0.000 0.000 1
Br1 Br 0.500 0.500 0.500 1
```


# Pm4PtSe2Br

A relaxed structure of Pm4PtSe2Br (GGA-PBE, Alexandria).

crystal system: monoclinic

Structure (CIF):
```
data_Pm4PtSe2Br
_chemical_formula_sum 'Pm4 Pt1 Se2 Br1'
_cell_length_a 7.404
_cell_length_b 4.088
_cell_length_c 7.442
_cell_angle_alpha 90.00
_cell_angle_beta 108.19
_cell_angle_gamma 90.00
_space_group_name_H-M_alt 'P 1 2/m 1'
_space_group_IT_number 10
loop_
_space_group_symop_operation_xyz
'x,y,z'
'-x,-y,-z'
'-x,y,-z'
'x,-y,z'
loop_
_atom_site_label
_atom_site_type_symbol
_atom_site_fract_x
_atom_site_fract_y
_atom_site_fract_z
_atom_site_occupancy
Pm1 Pm 0.229 0.000 0.238 1
Pm2 Pm 0.232 0.500 0.737 1
Pt1 Pt 0.000 0.500 0.000 1
Se1 Se 0.000 0.000 0.500 1
Se2 Se 0.500 0.500 0.500 1
Br1 Br 0.500 0.000 0.000 1
```


# Pm4Te2PtBr

A relaxed structure of Pm4Te2PtBr (GGA-PBE, Alexandria).

crystal system: monoclinic

Structure (CIF):
```
data_Pm4Te2PtBr
_chemical_formula_sum 'Pm4 Te2 Pt1 Br1'
_cell_length_a 7.640
_cell_length_b 4.223
_cell_length_c 7.734
_cell_angle_alpha 90.00
_cell_angle_beta 108.02
_cell_angle_gamma 90.00
_space_group_name_H-M_alt 'P 1 2/m 1'
_space_group_IT_number 10
loop_
_space_group_symop_operation_xyz
'x,y,z'
'-x,-y,-z'
'-x,y,-z'
'x,-y,z'
loop_
_atom_site_label
_atom_site_type_symbol
_atom_site_fract_x
_atom_site_fract_y
_atom_site_fract_z
_atom_site_occupancy
Pm1 Pm 0.217 0.000 0.217 1
Pm2 Pm 0.237 0.500 0.760 1
Te1 Te 0.000 0.000 0.500 1
Te2 Te 0.500 0.500 0.500 1
Pt1 Pt 0.000 0.500 0.000 1
Br1 Br 0.500 0.000 0.000 1
```


# PmThPtBr

A relaxed structure of PmThPtBr (GGA-PBE, Alexandria).

crystal system: trigonal

Structure (CIF):
```
data_PmThPtBr
_chemical_formula_sum 'Pm3 Th3 Pt3 Br3'
_cell_length_a 4.1833
_cell_length_b 4.1833
_cell_length_c 23.6768
_cell_angle_alpha 90.00
_cell_angle_beta 90.00
_cell_angle_gamma 120.00
_space_group_name_H-M_alt 'R 3 m'
_space_group_IT_number 160
_space_group_name_Hall 'R 3 -2"'
loop_
_atom_site_label
_atom_site_type_symbol
_atom_site_fract_x
_atom_site_fract_y
_atom_site_fract_z
_atom_site_occupancy
Pm1 Pm 0.0000 0.0000 0.0000 1
Th1 Th 0.0000 0.0000 0.7989 1
Pt1 Pt 0.0000 0.0000 0.4029 1
Br1 Br 0.0000 0.0000 0.2326 1
```


# PmPuBr2

A relaxed structure of PmPuBr2 (GGA-PBE, Alexandria).

crystal system: trigonal

Structure (CIF):
```
data_PmPuBr2
_chemical_formula_sum 'Pm3 Pu3 Br6'
_cell_length_a 3.7701
_cell_length_b 3.7701
_cell_length_c 30.5673
_cell_angle_alpha 90.00
_cell_angle_beta 90.00
_cell_angle_gamma 120.00
_space_group_name_H-M_alt 'R -3 m'
_space_group_IT_number 166
_space_group_name_Hall '-R 3 2"'
loop_
_atom_site_label
_atom_site_type_symbol
_atom_site_fract_x
_atom_site_fract_y
_atom_site_fract_z
_atom_site_occupancy
Pm1 Pm 0.0000 0.0000 0.0000 1
Pu1 Pu 0.0000 0.0000 0.5000 1
Br1 Br 0.0000 0.0000 0.0973 1
```


# PmPu2Br6

A relaxed structure of PmPu2Br6 (GGA-PBE, Alexandria).

ΔE to the lowest computed polymorph: 0.0 meV/atom
crystal system: monoclinic

Structure (CIF):
```
data_PmPu2Br6
_chemical_formula_sum 'Pm2 Pu4 Br12'
_cell_length_a 16.018
_cell_length_b 4.072
_cell_length_c 10.267
_cell_angle_alpha 90.00
_cell_angle_beta 110.00
_cell_angle_gamma 90.00
_space_group_name_H-M_alt 'C 1 2/m 1'
_space_group_IT_number 12
loop_
_space_group_symop_operation_xyz
'x,y,z'
'-x,-y,-z'
'-x,y,-z'
'x,-y,z'
'x+1/2,y+1/2,z'
'-x+1/2,-y+1/2,-z'
'-x+1/2,y+1/2,-z'
'x+1/2,-y+1/2,z'
loop_
_atom_site_label
_atom_site_type_symbol
_atom_site_fract_x
_atom_site_fract_y
_atom_site_fract_z
_atom_site_occupancy
Pm1 Pm 0.000 0.000 0.000 1
Pu1 Pu 0.165 0.500 0.333 1
Br1 Br 0.024 0.000 0.298 1
Br2 Br 0.140 0.500 0.030 1
Br3 Br 0.194 0.500 0.634 1
```


# Pm2PuBr

A relaxed structure of Pm2PuBr (GGA-PBE, Alexandria).

crystal system: trigonal

Structure (CIF):
```
data_Pm2PuBr
_chemical_formula_sum 'Pm6 Pu3 Br3'
_cell_length_a 3.6743
_cell_length_b 3.6743
_cell_length_c 30.9075
_cell_angle_alpha 90.00
_cell_angle_beta 90.00
_cell_angle_gamma 120.00
_space_group_name_H-M_alt 'R -3 m'
_space_group_IT_number 166
_space_group_name_Hall '-R 3 2"'
loop_
_atom_site_label
_atom_site_type_symbol
_atom_site_fract_x
_atom_site_fract_y
_atom_site_fract_z
_atom_site_occupancy
Pm1 Pm 0.0000 0.0000 0.2440 1
Pu1 Pu 0.0000 0.0000 0.0000 1
Br1 Br 0.0000 0.0000 0.5000 1
```


# PmPu2Br6

A relaxed structure of PmPu2Br6 (GGA-PBE, Alexandria).

ΔE to the lowest computed polymorph: 30.8 meV/atom
crystal system: monoclinic

Structure (CIF):
```
data_PmPu2Br6
_chemical_formula_sum 'Pm2 Pu4 Br12'
_cell_length_a 14.657
_cell_length_b 3.982
_cell_length_c 12.114
_cell_angle_alpha 90.00
_cell_angle_beta 116.40
_cell_angle_gamma 90.00
_space_group_name_H-M_alt 'C 1 2/m 1'
_space_group_IT_number 12
loop_
_space_group_symop_operation_xyz
'x,y,z'
'-x,-y,-z'
'-x,y,-z'
'x,-y,z'
'x+1/2,y+1/2,z'
'-x+1/2,-y+1/2,-z'
'-x+1/2,y+1/2,-z'
'x+1/2,-y+1/2,z'
loop_
_atom_site_label
_atom_site_type_symbol
_atom_site_fract_x
_atom_site_fract_y
_atom_site_fract_z
_atom_site_occupancy
Pm1 Pm 0.000 0.000 0.000 1
Pu1 Pu 0.188 0.500 0.307 1
Br1 Br 0.014 0.000 0.246 1
Br2 Br 0.154 0.500 0.537 1
Br3 Br 0.220 0.000 0.133 1
```


# PmPuBr5

A relaxed structure of PmPuBr5 (GGA-PBE, Alexandria).

crystal system: monoclinic

Structure (CIF):
```
data_PmPuBr5
_chemical_formula_sum 'Pm2 Pu2 Br10'
_cell_length_a 8.470
_cell_length_b 4.124
_cell_length_c 13.829
_cell_angle_alpha 90.00
_cell_angle_beta 93.71
_cell_angle_gamma 90.00
_space_group_name_H-M_alt 'P 1 21/m 1'
_space_group_IT_number 11
loop_
_space_group_symop_operation_xyz
'x,y,z'
'-x,-y,-z'
'-x,y+1/2,-z'
'x,-y+1/2,z'
loop_
_atom_site_label
_atom_site_type_symbol
_atom_site_fract_x
_atom_site_fract_y
_atom_site_fract_z
_atom_site_occupancy
Pm1 Pm 0.081 0.250 0.155 1
Pu1 Pu 0.411 0.750 0.357 1
Br1 Br 0.136 0.250 0.790 1
Br2 Br 0.150 0.250 0.369 1
Br3 Br 0.182 0.750 0.017 1
Br4 Br 0.351 0.750 0.571 1
Br5 Br 0.430 0.250 0.193 1
```


# PmPuBr4

A relaxed structure of PmPuBr4 (GGA-PBE, Alexandria).

crystal system: monoclinic

Structure (CIF):
```
data_PmPuBr4
_chemical_formula_sum 'Pm1 Pu1 Br4'
_cell_length_a 7.099
_cell_length_b 4.036
_cell_length_c 7.671
_cell_angle_alpha 90.00
_cell_angle_beta 107.33
_cell_angle_gamma 90.00
_space_group_name_H-M_alt 'P 1 2/m 1'
_space_group_IT_number 10
loop_
_space_group_symop_operation_xyz
'x,y,z'
'-x,-y,-z'
'-x,y,-z'
'x,-y,z'
loop_
_atom_site_label
_atom_site_type_symbol
_atom_site_fract_x
_atom_site_fract_y
_atom_site_fract_z
_atom_site_occupancy
Pm1 Pm 0.000 0.000 0.000 1
Pu1 Pu 0.500 0.500 0.000 1
Br1 Br 0.248 0.000 0.753 1
Br2 Br 0.248 0.500 0.249 1
```


# RbPmPuBr6

A relaxed structure of RbPmPuBr6 (GGA-PBE, Alexandria).

crystal system: trigonal

Structure (CIF):
```
data_RbPmPuBr6
_chemical_formula_sum 'Rb2 Pm2 Pu2 Br12'
_cell_length_a 7.5959
_cell_length_b 7.5959
_cell_length_c 15.2729
_cell_angle_alpha 90.00
_cell_angle_beta 90.00
_cell_angle_gamma 120.00
_space_group_name_H-M_alt 'P -3 1 c'
_space_group_IT_number 163
_space_group_name_Hall '-P 3 2c'
loop_
_atom_site_label
_atom_site_type_symbol
_atom_site_fract_x
_atom_site_fract_y
_atom_site_fract_z
_atom_site_occupancy
Rb1 Rb 0.0000 0.0000 0.0000 1
Pm1 Pm 0.3333 0.6667 0.2500 1
Pu1 Pu 0.3333 0.6667 0.7500 1
Br1 Br 0.0080 0.3728 0.1390 1
```


# PmPuRhBr

A relaxed structure of PmPuRhBr (GGA-PBE, Alexandria).

crystal system: trigonal

Structure (CIF):
```
data_PmPuRhBr
_chemical_formula_sum 'Pm3 Pu3 Rh3 Br3'
_cell_length_a 3.9776
_cell_length_b 3.9776
_cell_length_c 23.8776
_cell_angle_alpha 90.00
_cell_angle_beta 90.00
_cell_angle_gamma 120.00
_space_group_name_H-M_alt 'R 3 m'
_space_group_IT_number 160
_space_group_name_Hall 'R 3 -2"'
loop_
_atom_site_label
_atom_site_type_symbol
_atom_site_fract_x
_atom_site_fract_y
_atom_site_fract_z
_atom_site_occupancy
Pm1 Pm 0.0000 0.0000 0.0000 1
Pu1 Pu 0.0000 0.0000 0.8000 1
Rh1 Rh 0.0000 0.0000 0.4045 1
Br1 Br 0.0000 0.0000 0.2361 1
```


Calculated density (g/cm3), listed in the same order as above: 7.62, 7.86, 7.77, 9.05, 7.27, 5.87, 8.46, 5.83, 5.43, 5.61, 4.15, 8.71
Calculated formation energy (no corrections) (eV per atom), listed in the same order as above: -1.5801, -1.4958, -1.2917, -1.1149, -0.8855, -1.5036, -0.4642, -1.4728, -1.6888, -1.5360, -1.7196, -0.8436